No. 1
{"formula": "HfCoMoRu2", "functional": "PBE", "state": "relaxed", "formation_energy_mev_per_atom": 1037, "space_group": "P4/mmm, No. 123", "n_ef_per_ev_cell": 8.673, "e_tot_ev_per_fu": -41.3, "vol_a3_per_cell": 87.60, "magnetic_moment_mub_per_cell": 2.03, "lattice": [[4.3837, 0.0000, 0.0000], [0.0000, 4.3837, 0.0000], [0.0000, 0.0000, 4.5587]], "species": ["Hf", "Co", "Mo", "Ru", "Ru"], "fractional_positions": [[0.0000, 0.0000, 0.0000], [0.0000, 0.0000, 0.5000], [0.5000, 0.5000, 0.0000], [0.0000, 0.5000, 0.5000], [0.5000, 0.0000, 0.5000]]}

No. 2
{"formula": "HfCo2MoS", "functional": "PBE", "state": "relaxed", "space_group": "P4/mmm, No. 123", "n_ef_per_ev_cell": 2.121, "e_tot_ev_per_fu": -39.2, "vol_a3_per_cell": 75.28, "e_form_raw_ev_per_atom": -0.01, "magnetic_moment_mub_per_cell": 0.00, "lattice": [[4.1100, 0.0000, 0.0000], [0.0000, 4.1100, 0.0000], [0.0000, 0.0000, 4.4567]], "species": ["Hf", "Co", "Co", "Mo", "S"], "fractional_positions": [[0.0000, 0.0000, 0.0000], [0.0000, 0.5000, 0.5000], [0.5000, 0.0000, 0.5000], [0.5000, 0.5000, 0.0000], [0.5000, 0.5000, 0.5000]]}

No. 3
{"formula": "HfCoSb2Mo", "functional": "PBE", "state": "relaxed", "space_group": "P4/mmm, No. 123", "n_ef_per_ev_cell": 5.365, "e_tot_ev_per_fu": -32.7, "vol_a3_per_cell": 105.75, "e_form_raw_ev_per_atom": 0.68, "magnetic_moment_mub_per_cell": 0.88, "lattice": [[4.8533, 0.0000, 0.0000], [0.0000, 4.8533, 0.0000], [0.0000, 0.0000, 4.4898]], "species": ["Hf", "Co", "Sb", "Sb", "Mo"], "fractional_positions": [[0.0000, 0.0000, 0.0000], [0.5000, 0.5000, 0.5000], [0.0000, 0.5000, 0.5000], [0.5000, 0.0000, 0.5000], [0.5000, 0.5000, 0.0000]]}